First-principles (PBE) data for crystalline CdW2 at its relaxed geometry, as listed in the Open Quantum Materials Database.

```
CdW2
1.0
0.0000 3.8074 3.8074
3.8074 0.0000 3.8074
3.8074 3.8074 0.0000
Cd W
2 4
direct
0.1250 0.1250 0.1250
0.8750 0.8750 0.8750
0.0000 0.5000 0.5000
0.5000 0.0000 0.5000
0.5000 0.5000 0.0000
0.5000 0.5000 0.5000
```

Computed properties:
formation energy from the elements: 2.178 eV/f.u.
magnetic moment: 0.0 μB/cell